# 1
Below is a relaxed structure of GaTeMo, with properties calculated at the PBE level.

Values from the calculation:
total magnetization = 0.00 Bohr magnetons per cell
total energy = -5.715 eV per atom
D(E_F) = 0.253 states/eV per atom
mass density = 7.804 g/cm³
V = 20.8 A^3/atom
formation energy (no corrections) = -0.049 eV/atom

Geometry as CIF:
```
data_GaTeMo
_symmetry_space_group_name_H-M 'C m c e'
_symmetry_Int_Tables_number 64
_symmetry_space_group_name_Hall '-C 2ac 2'
_cell_length_a 5.419
_cell_length_b 12.349
_cell_length_c 7.460
_cell_angle_alpha 90.00
_cell_angle_beta 90.00
_cell_angle_gamma 90.00
loop_
_atom_site_label
_atom_site_type_symbol
_atom_site_fract_x
_atom_site_fract_y
_atom_site_fract_z
Ga1 Ga 0.250 0.063 0.250
Te1 Te 0.000 0.175 0.604
Mo1 Mo 0.000 0.101 0.969
```

# 2
Below is a relaxed structure of GaTe2Mo, with properties calculated at the PBE level.

Values from the calculation:
total magnetization = 5.56 Bohr magnetons per cell
total energy = -4.696 eV per atom
D(E_F) = 1.054 states/eV per atom
mass density = 5.372 g/cm³
V = 32.5 A^3/atom
formation energy (no corrections) = 0.339 eV/atom

Geometry as CIF:
```
data_GaTe2Mo
_symmetry_space_group_name_H-M 'I -4 2 d'
_symmetry_Int_Tables_number 122
_symmetry_space_group_name_Hall 'I -4 2bw'
_cell_length_a 6.519
_cell_length_b 6.519
_cell_length_c 12.245
_cell_angle_alpha 90.00
_cell_angle_beta 90.00
_cell_angle_gamma 90.00
loop_
_atom_site_label
_atom_site_type_symbol
_atom_site_fract_x
_atom_site_fract_y
_atom_site_fract_z
Ga1 Ga 0.000 0.000 0.000
Te1 Te 0.216 0.250 0.625
Mo1 Mo 0.000 0.000 0.500
```

# 3
Below is a relaxed structure of GaTeMo3, with properties calculated at the PBE level.

Values from the calculation:
total magnetization = 0.00 Bohr magnetons per cell
energy above the lowest structure with this stoichiometry = 351 meV per atom
total energy = -5.914 eV per atom
D(E_F) = 1.026 states/eV per atom
mass density = 6.937 g/cm³
V = 23.2 A^3/atom
formation energy (no corrections) = 1.818 eV/atom

Geometry as CIF:
```
data_GaTeMo3
_symmetry_space_group_name_H-M 'P m -3 m'
_symmetry_Int_Tables_number 221
_symmetry_space_group_name_Hall '-P 4 2 3'
_cell_length_a 4.879
_cell_length_b 4.879
_cell_length_c 4.879
_cell_angle_alpha 90.00
_cell_angle_beta 90.00
_cell_angle_gamma 90.00
loop_
_atom_site_label
_atom_site_type_symbol
_atom_site_fract_x
_atom_site_fract_y
_atom_site_fract_z
Ga1 Ga 0.000 0.000 0.000
Te1 Te 0.500 0.500 0.500
Mo1 Mo 0.000 0.500 0.500
```

# 4
Below is a relaxed structure of GaTe2Mo, with properties calculated at the PBE level.

Values from the calculation:
total magnetization = 8.82 Bohr magnetons per cell
total energy = -4.282 eV per atom
D(E_F) = 0.473 states/eV per atom
mass density = 5.985 g/cm³
V = 29.2 A^3/atom
formation energy (no corrections) = 0.754 eV/atom

Geometry as CIF:
```
data_GaTe2Mo
_symmetry_space_group_name_H-M 'R -3 m'
_symmetry_Int_Tables_number 166
_symmetry_space_group_name_Hall '-R 3 2"'
_cell_length_a 3.9499
_cell_length_b 3.9499
_cell_length_c 25.9252
_cell_angle_alpha 90.00
_cell_angle_beta 90.00
_cell_angle_gamma 120.00
loop_
_atom_site_label
_atom_site_type_symbol
_atom_site_fract_x
_atom_site_fract_y
_atom_site_fract_z
Ga1 Ga 0.0000 0.0000 0.0000
Te1 Te 0.0000 0.0000 0.3983
Mo1 Mo 0.0000 0.0000 0.5000
```